{"formula": "Pr4Ge2Cl3", "functional": "PBE-GGA", "state": "optimized geometry", "lattice": [[3.7172, -2.1462, 0.0000], [3.7172, 2.1462, 0.0000], [-0.0578, 0.0000, 17.0385]], "species": ["Pr", "Pr", "Pr", "Pr", "Ge", "Ge", "Cl", "Cl", "Cl"], "fractional_positions": [[0.0021, 0.0021, 0.3054], [0.3340, 0.3340, 0.1109], [0.6660, 0.6660, 0.8891], [0.9979, 0.9979, 0.6946], [0.3319, 0.3319, 0.7953], [0.6681, 0.6681, 0.2047], [0.0000, 0.0000, 0.0000], [0.3362, 0.3362, 0.3989], [0.6638, 0.6638, 0.6011]], "formation_energy_uncorrected_ev_per_atom": -1.4722, "spacegroup": "C2/m, No. 12", "m_tot_mub_per_cell": 0.000}

=====

{"formula": "Pr4GeCl5", "functional": "PBE-GGA", "state": "optimized geometry", "lattice": [[9.2162, -2.0791, 0.0000], [9.2162, 2.0791, 0.0000], [-2.1946, 0.0000, 8.2302]], "species": ["Pr", "Pr", "Pr", "Pr", "Ge", "Cl", "Cl", "Cl", "Cl", "Cl"], "fractional_positions": [[0.0008, 0.0008, 0.2357], [0.3423, 0.3423, 0.9059], [0.6577, 0.6577, 0.0941], [0.9992, 0.9992, 0.7643], [0.5000, 0.5000, 0.0000], [0.1666, 0.1666, 0.3304], [0.1699, 0.1699, 0.8575], [0.5000, 0.5000, 0.5000], [0.8301, 0.8301, 0.1425], [0.8334, 0.8334, 0.6696]], "formation_energy_uncorrected_ev_per_atom": -1.7589, "spacegroup": "C2/m, No. 12", "m_tot_mub_per_cell": 0.000}